The following is a DFT calculation (GGA-PBE) of crystalline MnGaCu2Te4 at its relaxed geometry.

The value obtained for the magnetic moment is 0.496 μB per atom. The electronic total energy is -0.1583 Ha/atom. The calculation puts the density at 5.66 g/cm3. The calculation puts the density of states at the Fermi level at 5.02 states/eV/cell.

It has space group I-42m (No. 121), with a = 6.0886 Å, b = 6.0886 Å, c = 12.0616 Å, α = 90.00°, β = 90.00° and γ = 90.00°. Symmetry generates all atoms from Mn at (0.0000, 0.0000, 0.0000), Ga at (0.0000, 0.0000, 0.5000), Cu at (0.0000, 0.5000, 0.2500) and Te at (0.2495, 0.2495, 0.8685).


The following is a DFT calculation (GGA-PBE) of crystalline NiIrSN2 at its relaxed geometry.

The value obtained for the magnetic moment is 0.284 μB per atom. The electronic total energy is -0.2233 Ha/atom. The calculation puts the density at 6.95 g/cm3. The calculation puts the density of states at the Fermi level at 5.20 states/eV/cell.

It has space group P4/mmm (No. 123), with a = 3.7022 Å, b = 3.7022 Å, c = 5.4174 Å, α = 90.00°, β = 90.00° and γ = 90.00°. Symmetry generates all atoms from Ni at (0.0000, 0.0000, 0.0000), Ir at (0.5000, 0.5000, 0.5000), S at (0.5000, 0.5000, 0.0000) and N at (0.0000, 0.5000, 0.5000).


The following is a DFT calculation (GGA-PBE) of crystalline LaSb2W at its relaxed geometry.

As for the energy above the most stable polymorph in this dataset: 202 meV per atom. The value obtained for the magnetic moment is 0.004 μB per atom. The electronic total energy is -0.2385 Ha/atom. The calculation puts the density at 9.09 g/cm3. The calculation puts the density of states at the Fermi level at 6.52 states/eV/cell.

It has space group Immm (No. 71), with a = 3.4794 Å, b = 5.9494 Å, c = 9.9914 Å, α = 90.00°, β = 90.00° and γ = 90.00°. Symmetry generates all atoms from La at (0.0000, 0.0000, 0.0000), Sb at (0.0000, 0.5000, 0.2094) and W at (0.0000, 0.0000, 0.5000).